## YEr2Pb (PBE)

Data for crystalline YEr2Pb at its relaxed geometry.

abc: 3.6245 3.6245 9.1524
angles: 90.00 90.00 90.00
Last column: nearest neighbours and their distance in Å.
Sites, in units of the cell vectors:
1 Pb 0.5000 0.5000 0.0000  8 Er 3.34, 4 Pb 3.62
2 Y 0.5000 0.5000 0.5000  8 Er 3.53, 4 Y 3.62
3 Er 0.0000 0.0000 0.7654  4 Pb 3.34, 4 Y 3.53, 4 Er 3.62
4 Er 0.0000 0.0000 0.2346  4 Pb 3.34, 4 Y 3.53, 4 Er 3.62

Output
DFT total energy: -5.030 eV per atom
calculated density: 8.709 g/cm³
formation enthalpy at 0 K: -0.206 eV per atom
E above lowest polymorph: 101 meV per atom



## YEr2Pb (PBE)

Data for crystalline YEr2Pb at its relaxed geometry.

abc: 4.6590 4.6072 11.4447
angles: 101.60 90.00 90.00
Last column: nearest neighbours and their distance in Å.
Sites, in units of the cell vectors:
1 Y 0.2500 0.3091 0.6169  5 Pb 3.17-3.32
2 Y 0.7500 0.6909 0.3831  5 Pb 3.17-3.32
3 Er 0.7500 0.4418 0.8835  8 Er 3.28-3.55, 2 Pb 3.35-3.36
4 Er 0.2500 0.5582 0.1165  8 Er 3.28-3.55, 2 Pb 3.35-3.36
5 Er 0.2500 0.9379 0.8758  8 Er 3.28-3.63, 2 Pb 3.31
6 Er 0.7500 0.0621 0.1242  8 Er 3.28-3.63, 2 Pb 3.31
7 Pb 0.7500 0.8338 0.6661  5 Y 3.17-3.32, 4 Er 3.31-3.36
8 Pb 0.2500 0.1662 0.3339  5 Y 3.17-3.32, 4 Er 3.31-3.36

Output
DFT total energy: -5.131 eV per atom
calculated density: 8.703 g/cm³
formation enthalpy at 0 K: -0.307 eV per atom
E above lowest polymorph: 0 meV per atom



## YEr4Pb5 (PBE)

Data for crystalline YEr4Pb5 at its relaxed geometry.

abc: 6.2615 7.6681 7.6681
angles: 80.40 65.90 65.90
Last column: nearest neighbours and their distance in Å.
Sites, in units of the cell vectors:
1 Y 0.0030 0.0000 0.0000  6 Pb 3.13-3.15
2 Er 0.3993 0.4003 0.8023  6 Pb 3.12-3.13
3 Er 0.7995 0.8023 0.5997  6 Pb 3.12-3.13
4 Er 0.2016 0.1977 0.4003  6 Pb 3.12-3.13
5 Er 0.6018 0.5997 0.1977  6 Pb 3.12-3.13
6 Pb 0.9008 0.4022 0.7973  5 Er 3.12-3.13, 1 Y 3.15
7 Pb 0.3029 0.7973 0.5978  5 Er 3.12-3.13, 1 Y 3.15
8 Pb 0.6980 0.2027 0.4022  5 Er 3.12-3.13, 1 Y 3.15
9 Pb 0.1002 0.5978 0.2027  5 Er 3.12-3.13, 1 Y 3.15
10 Pb 0.5032 0.0000 0.0000  4 Er 3.13, 2 Y 3.13

Output
DFT total energy: -4.627 eV per atom
calculated density: 9.710 g/cm³
formation enthalpy at 0 K: -0.301 eV per atom



## YEr3Pb3 (PBE)

Data for crystalline YEr3Pb3 at its relaxed geometry.

abc: 9.1431 9.1431 8.0569
angles: 55.43 55.43 60.00
Last column: nearest neighbours and their distance in Å.
Sites, in units of the cell vectors:
1 Y 0.3309 0.3309 0.0074  6 Pb 3.18-3.20
2 Y 0.6691 0.6691 0.9926  6 Pb 3.18-3.20
3 Er 0.3351 0.8339 0.7444  5 Pb 3.11-3.30
4 Er 0.8339 0.0866 0.7444  5 Pb 3.11-3.30
5 Er 0.0866 0.3351 0.7444  5 Pb 3.11-3.30
6 Er 0.9134 0.6649 0.2556  5 Pb 3.11-3.30
7 Er 0.1661 0.9134 0.2556  5 Pb 3.11-3.30
8 Er 0.6649 0.1661 0.2556  5 Pb 3.11-3.30
9 Pb 0.3116 0.5296 0.2443  5 Er 3.11-3.30, 2 Y 3.18-3.20
10 Pb 0.9145 0.3116 0.2443  5 Er 3.11-3.30, 2 Y 3.18-3.20
11 Pb 0.5296 0.9145 0.2443  5 Er 3.11-3.30, 2 Y 3.18-3.20
12 Pb 0.4704 0.0855 0.7557  5 Er 3.11-3.30, 2 Y 3.18-3.20
13 Pb 0.0855 0.6884 0.7557  5 Er 3.11-3.30, 2 Y 3.18-3.20
14 Pb 0.6884 0.4704 0.7557  5 Er 3.11-3.30, 2 Y 3.18-3.20

Output
DFT total energy: -4.808 eV per atom
calculated density: 9.137 g/cm³
formation enthalpy at 0 K: -0.339 eV per atom



## Y2Er3Pb2 (PBE)

Data for crystalline Y2Er3Pb2 at its relaxed geometry.

abc: 4.4512 6.3828 8.5012
angles: 108.59 90.00 110.41
Last column: nearest neighbours and their distance in Å.
Sites, in units of the cell vectors:
1 Y 0.8692 0.7383 0.2201  3 Pb 3.19-3.40
2 Y 0.1308 0.2617 0.7799  3 Pb 3.19-3.40
3 Er 0.5000 0.0000 0.0000  4 Pb 3.11
4 Er 0.6229 0.2458 0.4369  3 Pb 3.22-3.24, 2 Er 3.46-3.50
5 Er 0.3771 0.7542 0.5631  3 Pb 3.22-3.24, 2 Er 3.46-3.50
6 Pb 0.8265 0.6529 0.8041  5 Er 3.11-3.24, 3 Y 3.19-3.40
7 Pb 0.1735 0.3471 0.1959  5 Er 3.11-3.24, 3 Y 3.19-3.40

Output
DFT total energy: -5.183 eV per atom
calculated density: 8.534 g/cm³
formation enthalpy at 0 K: -0.321 eV per atom



## Y2ErPb9 (PBE)

Data for crystalline Y2ErPb9 at its relaxed geometry.

abc: 4.8819 4.8819 14.6379
angles: 90.00 90.00 90.00
Last column: nearest neighbours and their distance in Å.
Sites, in units of the cell vectors:
1 Y 0.0000 0.0000 0.3331  12 Pb 3.45-3.46
2 Y 0.0000 0.0000 0.6669  12 Pb 3.45-3.46
3 Er 0.0000 0.0000 0.0000  12 Pb 3.44-3.45
4 Pb 0.5000 0.5000 0.0000  8 Pb 3.44, 4 Er 3.45
5 Pb 0.5000 0.5000 0.3327  4 Y 3.45, 8 Pb 3.46
6 Pb 0.5000 0.5000 0.6673  4 Y 3.45, 8 Pb 3.46
7 Pb 0.5000 0.0000 0.1654  8 Pb 3.44-3.46, 2 Er 3.44, 2 Y 3.46
8 Pb 0.5000 0.0000 0.5000  8 Pb 3.45-3.46, 4 Y 3.45
9 Pb 0.5000 0.0000 0.8346  8 Pb 3.44-3.46, 2 Er 3.44, 2 Y 3.46
10 Pb 0.0000 0.5000 0.1654  8 Pb 3.44-3.46, 2 Er 3.44, 2 Y 3.46
11 Pb 0.0000 0.5000 0.5000  8 Pb 3.45-3.46, 4 Y 3.45
12 Pb 0.0000 0.5000 0.8346  8 Pb 3.44-3.46, 2 Er 3.44, 2 Y 3.46

Output
DFT total energy: -4.513 eV per atom
calculated density: 10.518 g/cm³
formation enthalpy at 0 K: -0.274 eV per atom



## Y5ErPb4 (PBE)

Data for crystalline Y5ErPb4 at its relaxed geometry.

abc: 3.6840 9.6973 9.0188
angles: 92.04 101.79 90.00
Last column: nearest neighbours and their distance in Å.
Sites, in units of the cell vectors:
1 Y 0.8091 0.6134 0.6182  1 Pb 3.16, 2 Y 3.50
2 Y 0.8462 0.2404 0.6924  4 Pb 3.17-3.53
3 Y 0.1538 0.7596 0.3076  4 Pb 3.17-3.53
4 Y 0.5000 0.5000 0.0000  4 Pb 3.10
5 Y 0.1909 0.3866 0.3818  1 Pb 3.16, 2 Y 3.50
6 Er 0.5000 0.0000 0.0000  6 Pb 3.06-3.25
7 Pb 0.3182 0.9325 0.6365  1 Er 3.25, 5 Y 3.30-3.60, 2 Pb 3.34
8 Pb 0.9743 0.7506 0.9485  2 Er 3.06, 4 Y 3.10-3.17
9 Pb 0.6818 0.0675 0.3635  1 Er 3.25, 5 Y 3.30-3.60, 2 Pb 3.34
10 Pb 0.0257 0.2494 0.0515  2 Er 3.06, 4 Y 3.10-3.17

Output
DFT total energy: -5.400 eV per atom
calculated density: 7.589 g/cm³
formation enthalpy at 0 K: -0.229 eV per atom



## Y3ErPb2 (PBE)

Data for crystalline Y3ErPb2 at its relaxed geometry.

abc: 7.3060 7.6432 8.9975
angles: 115.13 113.95 90.00
Last column: nearest neighbours and their distance in Å.
Sites, in units of the cell vectors:
1 Y 0.5000 0.2500 0.0000  4 Pb 3.11
2 Y 0.5000 0.7500 0.0000  4 Pb 3.11
3 Y 0.7913 0.0413 0.5825  4 Pb 3.17
4 Y 0.2087 0.4587 0.4175  4 Pb 3.17
5 Y 0.2087 0.9587 0.4175  4 Pb 3.17
6 Y 0.7913 0.5413 0.5825  4 Pb 3.17
7 Er 0.0000 0.5000 0.0000  2 Pb 3.13
8 Er 0.0000 0.0000 0.0000  2 Pb 3.13
9 Pb 0.5367 0.3572 0.7144  6 Y 3.11-3.17, 1 Er 3.13
10 Pb 0.8224 0.1428 0.2856  6 Y 3.11-3.17, 1 Er 3.13
11 Pb 0.1776 0.8572 0.7144  6 Y 3.11-3.17, 1 Er 3.13
12 Pb 0.4633 0.6428 0.2856  6 Y 3.11-3.17, 1 Er 3.13

Output
DFT total energy: -5.405 eV per atom
calculated density: 6.930 g/cm³
formation enthalpy at 0 K: -0.176 eV per atom
E above lowest polymorph: 277 meV per atom



## YErPb (PBE)

Data for crystalline YErPb at its relaxed geometry.

abc: 3.4890 6.1160 9.7020
angles: 98.56 79.64 73.43
Last column: nearest neighbours and their distance in Å.
Sites, in units of the cell vectors:
1 Pb 0.9020 0.8072 0.3887  1 Er 3.12, 4 Y 3.23-3.47, 4 Pb 3.26-3.49
2 Pb 0.0980 0.1928 0.6113  1 Er 3.12, 4 Y 3.23-3.47, 4 Pb 3.26-3.49
3 Er 0.9099 0.2377 0.9426  1 Pb 3.12, 3 Er 3.20-3.49
4 Er 0.0901 0.7623 0.0574  1 Pb 3.12, 3 Er 3.20-3.49
5 Y 0.2385 0.2478 0.2752  4 Pb 3.23-3.47, 2 Y 3.49, 4 Er 3.60-3.61
6 Y 0.7615 0.7522 0.7248  4 Pb 3.23-3.47, 2 Y 3.49, 4 Er 3.60-3.61

Output
DFT total energy: -4.996 eV per atom
calculated density: 8.068 g/cm³
formation enthalpy at 0 K: -0.084 eV per atom



## YEr2Pb3 (PBE)

Data for crystalline YEr2Pb3 at its relaxed geometry.

abc: 6.3800 6.3761 9.0111
angles: 110.72 100.18 90.00
Last column: nearest neighbours and their distance in Å.
Sites, in units of the cell vectors:
1 Y 0.7500 0.1263 0.0000  6 Pb 3.18-3.56
2 Y 0.2500 0.8737 0.0000  6 Pb 3.18-3.56
3 Er 0.5818 0.5423 0.3333  6 Pb 3.18-3.56, 1 Er 3.56
4 Er 0.0818 0.7909 0.3333  6 Pb 3.18-3.56, 1 Er 3.56
5 Er 0.9182 0.2091 0.6667  6 Pb 3.18-3.56, 1 Er 3.56
6 Er 0.4182 0.4577 0.6667  6 Pb 3.18-3.56, 1 Er 3.56
7 Pb 0.2500 0.3748 0.0000  4 Y 3.18-3.56, 2 Er 3.18
8 Pb 0.7500 0.6252 0.0000  4 Y 3.18-3.56, 2 Er 3.18
9 Pb 0.0845 0.2917 0.3350  5 Er 3.18-3.56, 1 Y 3.20, 1 Pb 3.55
10 Pb 0.4155 0.9567 0.6650  5 Er 3.18-3.56, 1 Y 3.20, 1 Pb 3.55
11 Pb 0.5845 0.0433 0.3350  5 Er 3.18-3.56, 1 Y 3.20, 1 Pb 3.55
12 Pb 0.9155 0.7083 0.6650  5 Er 3.18-3.56, 1 Y 3.20, 1 Pb 3.55

Output
DFT total energy: -4.943 eV per atom
calculated density: 10.308 g/cm³
formation enthalpy at 0 K: -0.490 eV per atom



## Y3Er5Pb2 (PBE)

Data for crystalline Y3Er5Pb2 at its relaxed geometry.

abc: 6.3340 10.6024 10.6024
angles: 95.78 72.62 72.62
Last column: nearest neighbours and their distance in Å.
Sites, in units of the cell vectors:
1 Y 0.2500 0.0000 0.0000  2 Y 3.17, 2 Er 3.21, 4 Pb 3.36
2 Y 0.7500 0.0000 0.0000  2 Y 3.17, 2 Er 3.21, 4 Pb 3.36
3 Y 0.3805 0.3346 0.9045  4 Pb 3.35-3.71, 4 Er 3.42-3.70
4 Y 0.6195 0.6654 0.0955  4 Pb 3.35-3.71, 4 Er 3.42-3.70
5 Y 0.8805 0.9045 0.3346  4 Pb 3.35-3.71, 4 Er 3.42-3.70
6 Y 0.1195 0.0955 0.6654  4 Pb 3.35-3.71, 4 Er 3.42-3.70
7 Er 0.2500 0.5000 0.5000  8 Er 3.15-3.30
8 Er 0.7500 0.5000 0.5000  8 Er 3.15-3.30
9 Er 0.5024 0.7476 0.7476  3 Er 3.15-3.17, 2 Pb 3.15, 1 Y 3.21
10 Er 0.9976 0.2524 0.2524  3 Er 3.15-3.17, 2 Pb 3.15, 1 Y 3.21
11 Er 0.4976 0.2524 0.2524  3 Er 3.15-3.17, 2 Pb 3.15, 1 Y 3.21
12 Er 0.0024 0.7476 0.7476  3 Er 3.15-3.17, 2 Pb 3.15, 1 Y 3.21
13 Er 0.1035 0.5604 0.2326  1 Pb 2.99, 2 Er 3.30
14 Er 0.8965 0.4396 0.7674  1 Pb 2.99, 2 Er 3.30
15 Er 0.6035 0.2326 0.5604  1 Pb 2.99, 2 Er 3.30
16 Er 0.3965 0.7674 0.4396  1 Pb 2.99, 2 Er 3.30
17 Pb 0.1424 0.7089 0.0062  3 Er 2.99-3.15, 2 Y 3.35
18 Pb 0.8576 0.2911 0.9938  3 Er 2.99-3.15, 2 Y 3.35
19 Pb 0.6424 0.0062 0.7089  3 Er 2.99-3.15, 2 Y 3.35
20 Pb 0.3576 0.9938 0.2911  3 Er 2.99-3.15, 2 Y 3.35

Output
DFT total energy: -4.918 eV per atom
calculated density: 7.946 g/cm³
formation enthalpy at 0 K: 0.044 eV per atom



## Y4ErPb5 (PBE)

Data for crystalline Y4ErPb5 at its relaxed geometry.

abc: 6.2930 7.7069 7.7069
angles: 80.40 65.90 65.90
Last column: nearest neighbours and their distance in Å.
Sites, in units of the cell vectors:
1 Y 0.4020 0.3996 0.7977  6 Pb 3.15
2 Y 0.8016 0.7977 0.6004  6 Pb 3.15
3 Y 0.1997 0.2023 0.3996  6 Pb 3.15
4 Y 0.5993 0.6004 0.2023  6 Pb 3.15
5 Er 0.0024 0.0000 0.0000  6 Pb 3.12-3.15
6 Pb 0.9004 0.3978 0.8027  1 Er 3.12, 5 Y 3.15
7 Pb 0.2982 0.8027 0.6022  1 Er 3.12, 5 Y 3.15
8 Pb 0.7031 0.1973 0.3978  1 Er 3.12, 5 Y 3.15
9 Pb 0.1009 0.6022 0.1973  1 Er 3.12, 5 Y 3.15
10 Pb 0.5026 0.0000 0.0000  2 Er 3.15, 4 Y 3.15

Output
DFT total energy: -5.244 eV per atom
calculated density: 8.311 g/cm³
formation enthalpy at 0 K: -0.348 eV per atom



calculated density of number 9 (YErPb)?
8.068 g/cm³